Density functional theory data (PBE-GGA) for a relaxed structure of KNiCl2.

Cell lengths 4.8053, 4.8053, 6.4548 Å; angles 91.28, 91.28, 62.39 degrees
Sites, in units of the cell vectors:
1 K 0.7500 0.7500 0.7500
2 Cl 0.4044 0.4044 0.5159
3 Cl 0.0956 0.0956 0.9841
4 Ni 0.2500 0.2500 0.2500

The magnetic moment is 0.25 μB per atom. For the energy above the most stable polymorph in this dataset, the calculation gives 59.2 meV per atom. As for the raw formation energy: -907 meV/atom. The total energy is -3.55 eV/atom.

=====

Density functional theory data (PBE-GGA) for a relaxed structure of TbTlFe.

Cell lengths 3.7710, 5.3720, 6.9547 Å; angles 101.19, 105.73, 90.00 degrees
Sites, in units of the cell vectors:
1 Fe 0.2302 0.8811 0.4603
2 Fe 0.7698 0.1189 0.5397
3 Tl 0.4255 0.2079 0.8510
4 Tl 0.5745 0.7921 0.1490
5 Tb 0.8629 0.6761 0.7259
6 Tb 0.1371 0.3239 0.2741

The magnetic moment is 0.46 μB per atom. For the formation energy, the calculation gives -45 meV per atom. The total energy is -5.20 eV/atom.

=====

Density functional theory data (PBE-GGA) for a relaxed structure of Ho4GeAs2S.

Cell lengths 4.0493, 7.0436, 7.0455 Å; angles 70.66, 90.00, 90.00 degrees
Sites, in units of the cell vectors:
1 Ge 0.0000 0.5000 0.5000
2 Ho 0.0000 0.2506 0.2526
3 Ho 0.0000 0.7494 0.7474
4 Ho 0.5000 0.7488 0.2497
5 Ho 0.5000 0.2512 0.7503
6 As 0.5000 0.0000 0.5000
7 As 0.0000 0.0000 0.0000
8 S 0.5000 0.5000 0.0000

The magnetic moment is 0.00 μB per atom. As for the raw formation energy: -1492 meV/atom. The total energy is -6.04 eV/atom.

=====

Density functional theory data (PBE-GGA) for a relaxed structure of CsMnW2S8.

Cell lengths 6.2690, 6.2690, 10.4409 Å; angles 72.53, 72.53, 60.00 degrees
Sites, in units of the cell vectors:
1 W 0.2611 0.2611 0.2167
2 W 0.7389 0.7389 0.7833
3 S 0.0444 0.3695 0.8524
4 S 0.7336 0.0444 0.8524
5 S 0.6305 0.2664 0.1476
6 S 0.2664 0.9556 0.1476
7 S 0.3695 0.7336 0.8524
8 S 0.8130 0.8130 0.5609
9 S 0.9556 0.6305 0.1476
10 S 0.1870 0.1870 0.4391
11 Mn 0.0000 0.0000 0.0000
12 Cs 0.5000 0.5000 0.5000

The magnetic moment is 0.33 μB per atom. As for the raw formation energy: -530 meV/atom. The total energy is -6.28 eV/atom.

=====

Density functional theory data (PBE-GGA) for a relaxed structure of CaBiNO2.

Cell lengths 4.2796, 4.2796, 4.2422 Å; angles 90.00, 90.00, 90.00 degrees
Sites, in units of the cell vectors:
1 O 0.5000 0.0000 0.0000
2 O 0.0000 0.5000 0.0000
3 Bi 0.0000 0.0000 0.0000
4 Ca 0.5000 0.5000 0.5000
5 N 0.0000 0.0000 0.5000

The magnetic moment is 0.00 μB per atom. As for the raw formation energy: -709 meV/atom. The total energy is -5.53 eV/atom.

=====

Density functional theory data (PBE-GGA) for a relaxed structure of Rb4PdBr6.

Cell lengths 9.3511, 9.3511, 9.7831 Å; angles 90.00, 90.00, 90.00 degrees
Sites, in units of the cell vectors:
1 Br 0.0000 0.0000 0.2237
2 Br 0.9178 0.7153 0.5000
3 Br 0.5000 0.5000 0.2763
4 Br 0.4178 0.7847 0.0000
5 Br 0.2153 0.4178 0.0000
6 Br 0.0822 0.2847 0.5000
7 Br 0.2847 0.9178 0.5000
8 Br 0.7153 0.0822 0.5000
9 Br 0.5000 0.5000 0.7237
10 Br 0.5822 0.2153 0.0000
11 Br 0.7847 0.5822 0.0000
12 Br 0.0000 0.0000 0.7763
13 Pd 0.0000 0.0000 0.5000
14 Pd 0.5000 0.5000 0.0000
15 Rb 0.6772 0.8228 0.7500
16 Rb 0.8228 0.3228 0.2500
17 Rb 0.3228 0.1772 0.7500
18 Rb 0.1772 0.6772 0.7500
19 Rb 0.1772 0.6772 0.2500
20 Rb 0.8228 0.3228 0.7500
21 Rb 0.3228 0.1772 0.2500
22 Rb 0.6772 0.8228 0.2500

The magnetic moment is 0.19 μB per atom. As for the raw formation energy: -1298 meV/atom. The total energy is -3.03 eV/atom.

=====

Density functional theory data (PBE-GGA) for a relaxed structure of HfBe2BiSb.

Cell lengths 4.5495, 5.6566, 4.5495 Å; angles 90.00, 90.00, 90.00 degrees
Sites, in units of the cell vectors:
1 Sb 0.0000 0.0000 0.0000
2 Bi 0.5000 0.5000 0.5000
3 Be 0.0000 0.0000 0.5000
4 Be 0.5000 0.0000 0.0000
5 Hf 0.0000 0.5000 0.0000

The magnetic moment is 0.00 μB per atom. As for the raw formation energy: 861 meV/atom. The total energy is -4.22 eV/atom.

=====

Density functional theory data (PBE-GGA) for a relaxed structure of BaInN.

Cell lengths 4.7256, 4.8710, 8.6795 Å; angles 105.27, 90.00, 119.02 degrees
Sites, in units of the cell vectors:
1 Ba 0.0935 0.1870 0.8157
2 Ba 0.9065 0.8130 0.1843
3 N 0.4251 0.8502 0.9701
4 N 0.5749 0.1498 0.0299
5 In 0.6702 0.3404 0.5229
6 In 0.3298 0.6596 0.4771

The magnetic moment is 0.00 μB per atom. As for the raw formation energy: -437 meV/atom. The total energy is -4.77 eV/atom.